This record from Alexandria via LeMat-Bulk describes a relaxed Nd3ZnPd3 crystal. The functional is PBE.

Structure (extended XYZ):
```
14
Lattice="4.3447 0.0000 0.0000 -2.1723 5.2980 0.0000 0.0000 0.0000 14.0760" Properties=species:S:1:pos:R:3 pbc="T T T"
Nd 2.1724 3.1293 5.5779
Nd 0.0000 2.1687 12.6159
Nd 2.1724 3.1293 1.4601
Nd 0.0000 5.0850 10.5570
Nd 2.1724 0.2130 3.5190
Nd 0.0000 2.1687 8.4981
Pd 2.1723 4.4306 12.8210
Pd 2.1723 4.4306 8.2931
Pd 0.0000 0.8673 5.7830
Pd 0.0000 0.8673 1.2550
Pd 2.1724 2.7494 10.5570
Pd 0.0000 2.5485 3.5190
Zn 2.1723 0.0000 7.0380
Zn 2.1723 0.0000 0.0000
```

calculated total energy = -5.17 eV/atom
mass density = 8.38 Mg/m³
DOS(E_F) = 10.319 states/eV/cell